(1)
# PBE-GGA Ba4SnHg3, optimized geometry
data_Ba4SnHg3
_chemical_formula_sum 'Ba8 Sn2 Hg6'
_cell_length_a 5.965
_cell_length_b 5.965
_cell_length_c 16.950
_cell_angle_alpha 90.00
_cell_angle_beta 90.00
_cell_angle_gamma 90.00
_space_group_name_H-M_alt 'I 4/m m m'
_space_group_IT_number 139
_space_group_name_Hall '-I 4 2'
loop_
_atom_site_label
_atom_site_type_symbol
_atom_site_fract_x
_atom_site_fract_y
_atom_site_fract_z
_atom_site_occupancy
Ba1 Ba 0.000 0.500 0.125 1
Sn1 Sn 0.000 0.000 0.000 1
Hg1 Hg 0.000 0.000 0.250 1
Hg2 Hg 0.000 0.000 0.500 1
# V = 37.69 A^3/atom
# Formation energy = -0.565 eV/atom
# Magnetization = 0.000 μB per atom
# Density = 6.99 g/cm3

***

(2)
# PBE-GGA TcF3, optimized geometry
data_TcF3
_chemical_formula_sum 'Tc3 F9'
_cell_length_a 2.7559
_cell_length_b 2.7559
_cell_length_c 25.3304
_cell_angle_alpha 90.00
_cell_angle_beta 90.00
_cell_angle_gamma 120.00
_space_group_name_H-M_alt 'R -3 m'
_space_group_IT_number 166
_space_group_name_Hall '-R 3 2"'
loop_
_atom_site_label
_atom_site_type_symbol
_atom_site_fract_x
_atom_site_fract_y
_atom_site_fract_z
_atom_site_occupancy
Tc1 Tc 0.0000 0.0000 0.0000 1
F1 F 0.0000 0.0000 0.0726 1
F2 F 0.0000 0.0000 0.5000 1
# V = 13.88 A^3/atom
# Formation energy without anion corrections = -648 meV per atom
# Magnetization = 0.057 μB per atom
# Density = 4.63 g/cm3

***

(3)
# PBE-GGA TaFe2HRh, optimized geometry
data_TaFe2HRh
_chemical_formula_sum 'Ta1 Fe2 H1 Rh1'
_cell_length_a 3.786
_cell_length_b 3.786
_cell_length_c 3.795
_cell_angle_alpha 90.00
_cell_angle_beta 90.00
_cell_angle_gamma 90.00
_space_group_name_H-M_alt 'P 4/m m m'
_space_group_IT_number 123
_space_group_name_Hall '-P 4 2'
loop_
_atom_site_label
_atom_site_type_symbol
_atom_site_fract_x
_atom_site_fract_y
_atom_site_fract_z
_atom_site_occupancy
Ta1 Ta 0.000 0.000 0.000 1
Fe1 Fe 0.000 0.500 0.500 1
H1 H 0.500 0.500 0.500 1
Rh1 Rh 0.500 0.500 0.000 1
# V = 10.88 A^3/atom
# DFT total energy = -8.08 eV/atom
# Magnetization = 0.205 μB per atom
# Density = 12.11 g/cm3

***

(4)
# PBE-GGA K2RhAuO4, optimized geometry
data_K2RhAuO4
_chemical_formula_sum 'K4 Rh2 Au2 O8'
_cell_length_a 6.418
_cell_length_b 6.418
_cell_length_c 6.937
_cell_angle_alpha 90.00
_cell_angle_beta 90.00
_cell_angle_gamma 90.00
_space_group_name_H-M_alt 'I -4'
_space_group_IT_number 82
_space_group_name_Hall 'I -4'
loop_
_atom_site_label
_atom_site_type_symbol
_atom_site_fract_x
_atom_site_fract_y
_atom_site_fract_z
_atom_site_occupancy
K1 K 0.000 0.000 0.000 1
K2 K 0.000 0.500 0.250 1
Rh1 Rh 0.000 0.000 0.500 1
Au1 Au 0.000 0.500 0.750 1
O1 O 0.142 0.197 0.658 1
# V = 17.86 A^3/atom
# Formation energy without anion corrections = -683 meV per atom
# Magnetization = 0.000 μB per atom
# Density = 5.14 g/cm3

***

(5)
# PBE-GGA NaCa3Co, optimized geometry
data_NaCa3Co
_chemical_formula_sum 'Na1 Ca3 Co1'
_cell_length_a 5.500
_cell_length_b 5.500
_cell_length_c 5.500
_cell_angle_alpha 90.00
_cell_angle_beta 90.00
_cell_angle_gamma 90.00
_space_group_name_H-M_alt 'P m -3 m'
_space_group_IT_number 221
_space_group_name_Hall '-P 4 2 3'
loop_
_atom_site_label
_atom_site_type_symbol
_atom_site_fract_x
_atom_site_fract_y
_atom_site_fract_z
_atom_site_occupancy
Na1 Na 0.000 0.000 0.000 1
Ca1 Ca 0.000 0.500 0.500 1
Co1 Co 0.500 0.500 0.500 1
# V = 33.28 A^3/atom
# Formation energy = 0.149 eV/atom
# Magnetization = 0.000 μB per atom
# Density = 2.02 g/cm3

***

(6)
# PBE-GGA MgCrNi2, optimized geometry
data_MgCrNi2
_chemical_formula_sum 'Mg1 Cr1 Ni2'
_cell_length_a 2.928
_cell_length_b 2.928
_cell_length_c 6.044
_cell_angle_alpha 90.00
_cell_angle_beta 90.00
_cell_angle_gamma 90.00
_space_group_name_H-M_alt 'P 4 m m'
_space_group_IT_number 99
_space_group_name_Hall 'P 4 -2'
loop_
_atom_site_label
_atom_site_type_symbol
_atom_site_fract_x
_atom_site_fract_y
_atom_site_fract_z
_atom_site_occupancy
Mg1 Mg 0.000 0.000 0.000 1
Cr1 Cr 0.500 0.500 0.686 1
Ni1 Ni 0.000 0.000 0.494 1
Ni2 Ni 0.500 0.500 0.269 1
# V = 12.95 A^3/atom
# Formation energy = 0.200 eV/atom
# Magnetization = 0.000 μB per atom
# Density = 6.21 g/cm3